Entry 1:
A plane-wave DFT calculation with PBE was carried out for a geometry-optimized CaAlIr structure.

Output
magnetization = 0.00 μB/cell
space group = P-6m2, No. 187
E = -16.2 eV per formula unit
formation enthalpy at 0 K = -0.523 eV per atom

Lattice parameters (Å, degrees): 4.2076 4.2076 4.2769 90.00 90.00 120.00
Atoms (fractional coordinates):
Ca: 0.0000 0.0000 0.0000
Al: 0.6667 0.3333 0.5000
Ir: 0.3333 0.6667 0.5000

---

Entry 2:
A plane-wave DFT calculation with PBE was carried out for a geometry-optimized Y2Ho3Tl structure.

Output
magnetization = 0.00 μB/cell
relative energy among the computed polymorphs = 0.358 eV/atom
space group = Imm2, No. 44
E = -27.5 eV per formula unit
formation enthalpy at 0 K = 0.248 eV per atom

Lattice parameters (Å, degrees): 6.4058 10.1596 5.7586 90.00 90.00 90.00
Atoms (fractional coordinates):
Y: 0.0000 0.1853 0.0000
Y: 0.0000 0.8147 0.0000
Y: 0.5000 0.3147 0.5000
Y: 0.5000 0.6853 0.5000
Ho: 0.0000 0.0000 0.5002
Ho: 0.0000 0.3462 0.4995
Ho: 0.0000 0.6538 0.4995
Ho: 0.5000 0.1538 0.9995
Ho: 0.5000 0.5000 0.0002
Ho: 0.5000 0.8462 0.9995
Tl: 0.0000 0.5000 0.9993
Tl: 0.5000 0.0000 0.4993

---

Entry 3:
A plane-wave DFT calculation with PBE was carried out for a geometry-optimized LiMgNb4N8 structure.

Output
magnetization = 0.05 μB/cell
space group = R3m, No. 160
E = -119.2 eV per formula unit
ΔE_f (raw) = -0.632 eV per atom

Lattice parameters (Å, degrees): 6.2162 6.2162 6.2162 60.97 60.97 60.97
Atoms (fractional coordinates):
Li: 0.0000 0.0000 0.0000
Mg: 0.3786 0.3786 0.3786
Nb: 0.0037 0.0037 0.4836
Nb: 0.0037 0.4836 0.0037
Nb: 0.4836 0.0037 0.0037
Nb: 0.6220 0.6220 0.6220
N: 0.2410 0.7499 0.7499
N: 0.2420 0.2420 0.2420
N: 0.2532 0.2532 0.7849
N: 0.2532 0.7849 0.2532
N: 0.7499 0.2410 0.7499
N: 0.7499 0.7499 0.2410
N: 0.7584 0.7584 0.7584
N: 0.7849 0.2532 0.2532

---

Entry 4:
A plane-wave DFT calculation with PBE was carried out for a geometry-optimized YVMo2Ru structure.

Output
magnetization = 0.63 μB/cell
space group = P4/mmm, No. 123
E = -33.5 eV per formula unit
formation enthalpy at 0 K = 2.595 eV per atom

Lattice parameters (Å, degrees): 4.7050 4.7050 4.4986 90.00 90.00 90.00
Atoms (fractional coordinates):
Y: 0.0000 0.0000 0.0000
V: 0.0000 0.0000 0.5000
Mo: 0.0000 0.5000 0.0000
Mo: 0.5000 0.0000 0.0000
Ru: 0.5000 0.5000 0.5000

---

Entry 5:
A plane-wave DFT calculation with PBE was carried out for a geometry-optimized Tl2OsF6 structure.

Output
magnetization = 2.00 μB/cell
relative energy among the computed polymorphs = 0.020 eV/atom
space group = P-31m, No. 162
E = -43.0 eV per formula unit
ΔE_f (raw) = -1.756 eV per atom

Lattice parameters (Å, degrees): 6.3752 6.3752 5.1401 90.00 90.00 120.00
Atoms (fractional coordinates):
Tl: 0.3333 0.6667 0.0000
Tl: 0.6667 0.3333 0.0000
Os: 0.0000 0.0000 0.5000
F: 0.0000 0.2563 0.2826
F: 0.0000 0.7437 0.7174
F: 0.2563 0.0000 0.2826
F: 0.2563 0.2563 0.7174
F: 0.7437 0.0000 0.7174
F: 0.7437 0.7437 0.2826

---

Entry 6:
A plane-wave DFT calculation with PBE was carried out for a geometry-optimized Zn2TcMo2 structure.

Output
magnetization = 0.00 μB/cell
space group = P4/mbm, No. 127
E = -32.9 eV per formula unit
formation enthalpy at 0 K = 0.334 eV per atom

Lattice parameters (Å, degrees): 6.6635 6.6635 3.3369 90.00 90.00 90.00
Atoms (fractional coordinates):
Zn: 0.1277 0.3723 0.0000
Zn: 0.3723 0.8723 0.0000
Zn: 0.6277 0.1277 0.0000
Zn: 0.8723 0.6277 0.0000
Tc: 0.0000 0.0000 0.0000
Tc: 0.5000 0.5000 0.0000
Mo: 0.1729 0.6729 0.5000
Mo: 0.3271 0.1729 0.5000
Mo: 0.6729 0.8271 0.5000
Mo: 0.8271 0.3271 0.5000

---

Entry 7:
A plane-wave DFT calculation with PBE was carried out for a geometry-optimized HoSc3Rh structure.

Output
magnetization = 0.04 μB/cell
relative energy among the computed polymorphs = 0.083 eV/atom
space group = Pm-3m, No. 221
E = -32.1 eV per formula unit
formation enthalpy at 0 K = -0.242 eV per atom

Lattice parameters (Å, degrees): 5.0607 5.0607 5.0607 90.00 90.00 90.00
Atoms (fractional coordinates):
Ho: 0.0000 0.0000 0.0000
Sc: 0.0000 0.5000 0.5000
Sc: 0.5000 0.0000 0.5000
Sc: 0.5000 0.5000 0.0000
Rh: 0.5000 0.5000 0.5000

---

Entry 8:
A plane-wave DFT calculation with PBE was carried out for a geometry-optimized AlTe4As structure.

Output
magnetization = 0.00 μB/cell
space group = F-43m, No. 216
E = -16.9 eV per formula unit
ΔE_f (raw) = 0.674 eV per atom

Lattice parameters (Å, degrees): 6.2827 6.2827 6.2827 60.00 60.00 60.00
Atoms (fractional coordinates):
Al: 0.0000 0.0000 0.0000
Te: 0.3760 0.3760 0.3760
Te: 0.3760 0.3760 0.8720
Te: 0.3760 0.8720 0.3760
Te: 0.8720 0.3760 0.3760
As: 0.7500 0.7500 0.7500

---

Entry 9:
A plane-wave DFT calculation with PBE was carried out for a geometry-optimized Rb2CuPbO4 structure.

Output
magnetization = 1.93 μB/cell
space group = I-4, No. 82
E = -37.5 eV per formula unit
ΔE_f (raw) = -0.985 eV per atom

Lattice parameters (Å, degrees): 6.3223 6.3223 7.4115 90.00 90.00 90.00
Atoms (fractional coordinates):
Rb: 0.0000 0.0000 0.0000
Rb: 0.0000 0.5000 0.2500
Rb: 0.5000 0.0000 0.7500
Rb: 0.5000 0.5000 0.5000
Cu: 0.0000 0.5000 0.7500
Cu: 0.5000 0.0000 0.2500
Pb: 0.0000 0.0000 0.5000
Pb: 0.5000 0.5000 0.0000
O: 0.1401 0.7531 0.6577
O: 0.2469 0.1401 0.3423
O: 0.2531 0.3599 0.8423
O: 0.3599 0.7469 0.1577
O: 0.6401 0.2531 0.1577
O: 0.7469 0.6401 0.8423
O: 0.7531 0.8599 0.3423
O: 0.8599 0.2469 0.6577

---

Entry 10:
A plane-wave DFT calculation with PBE was carried out for a geometry-optimized Tb6ScTe8 structure.

Output
magnetization = 0.00 μB/cell
space group = Fm-3m, No. 225
E = -79.5 eV per formula unit
ΔE_f (raw) = -1.351 eV per atom

Lattice parameters (Å, degrees): 8.6951 8.6951 8.6951 60.00 60.00 60.00
Atoms (fractional coordinates):
Tb: 0.0000 0.0000 0.5000
Tb: 0.0000 0.5000 0.0000
Tb: 0.0000 0.5000 0.5000
Tb: 0.5000 0.0000 0.0000
Tb: 0.5000 0.0000 0.5000
Tb: 0.5000 0.5000 0.0000
Sc: 0.0000 0.0000 0.0000
Te: 0.2472 0.2472 0.7528
Te: 0.2472 0.7528 0.2472
Te: 0.2472 0.7528 0.7528
Te: 0.2500 0.2500 0.2500
Te: 0.7500 0.7500 0.7500
Te: 0.7528 0.2472 0.2472
Te: 0.7528 0.2472 0.7528
Te: 0.7528 0.7528 0.2472

---

Entry 11:
A plane-wave DFT calculation with PBE was carried out for a geometry-optimized Ba2NaNpS6 structure.

Output
magnetization = 0.00 μB/cell
space group = P2_1/c, No. 14
E = -56.9 eV per formula unit
ΔE_f (raw) = -1.402 eV per atom

Lattice parameters (Å, degrees): 7.1234 7.5636 12.4082 90.00 124.47 90.00
Atoms (fractional coordinates):
Ba: 0.2292 0.0707 0.2479
Ba: 0.2292 0.4293 0.7479
Ba: 0.7708 0.5707 0.2521
Ba: 0.7708 0.9293 0.7521
Na: 0.0000 0.0000 0.5000
Na: 0.0000 0.5000 0.0000
Np: 0.5000 0.0000 0.0000
Np: 0.5000 0.5000 0.5000
S: 0.1733 0.1817 0.9592
S: 0.1733 0.3183 0.4592
S: 0.2763 0.7209 0.9551
S: 0.2763 0.7791 0.4551
S: 0.3480 0.0200 0.7643
S: 0.3480 0.4800 0.2643
S: 0.6520 0.5200 0.7357
S: 0.6520 0.9800 0.2357
S: 0.7237 0.2209 0.5449
S: 0.7237 0.2791 0.0449
S: 0.8267 0.6817 0.5408
S: 0.8267 0.8183 0.0408

---

Entry 12:
A plane-wave DFT calculation with PBE was carried out for a geometry-optimized Na2As4Pd3Rh structure.

Output
magnetization = 0.00 μB/cell
space group = P-4m2, No. 115
E = -48.3 eV per formula unit
formation enthalpy at 0 K = -0.416 eV per atom

Lattice parameters (Å, degrees): 4.2924 4.2924 10.3854 90.00 90.00 90.00
Atoms (fractional coordinates):
Na: 0.0000 0.5000 0.2483
Na: 0.5000 0.0000 0.7517
As: 0.0000 0.0000 0.5000
As: 0.0000 0.5000 0.8741
As: 0.5000 0.0000 0.1259
As: 0.5000 0.5000 0.5000
Pd: 0.0000 0.0000 0.0000
Pd: 0.0000 0.5000 0.6347
Pd: 0.5000 0.0000 0.3653
Rh: 0.5000 0.5000 0.0000

---

Entry 13:
A plane-wave DFT calculation with PBE was carried out for a geometry-optimized PmSnPd structure.

Output
magnetization = 0.00 μB/cell
relative energy among the computed polymorphs = 0.000 eV/atom
space group = Pmmn, No. 59
E = -16.7 eV per formula unit
formation enthalpy at 0 K = -0.912 eV per atom

Lattice parameters (Å, degrees): 4.7186 14.8948 8.0372 90.00 90.00 90.00
Atoms (fractional coordinates):
Pm: 0.2500 0.0040 0.2131
Pm: 0.2500 0.2500 0.2944
Pm: 0.2500 0.4960 0.2131
Pm: 0.2500 0.7500 0.2906
Pm: 0.7500 0.2500 0.7094
Pm: 0.7500 0.5040 0.7869
Pm: 0.7500 0.7500 0.7056
Pm: 0.7500 0.9960 0.7869
Sn: 0.2500 0.1026 0.5901
Sn: 0.2500 0.3974 0.5901
Sn: 0.2500 0.6489 0.9111
Sn: 0.2500 0.8511 0.9111
Sn: 0.7500 0.1489 0.0889
Sn: 0.7500 0.3511 0.0889
Sn: 0.7500 0.6026 0.4099
Sn: 0.7500 0.8974 0.4099
Pd: 0.2500 0.1407 0.9222
Pd: 0.2500 0.3593 0.9222
Pd: 0.2500 0.5960 0.5822
Pd: 0.2500 0.9040 0.5822
Pd: 0.7500 0.0960 0.4178
Pd: 0.7500 0.4040 0.4178
Pd: 0.7500 0.6407 0.0778
Pd: 0.7500 0.8593 0.0778

---

Entry 14:
A plane-wave DFT calculation with PBE was carried out for a geometry-optimized CdSiP2O structure.

Output
magnetization = 0.00 μB/cell
relative energy among the computed polymorphs = 0.000 eV/atom
space group = P4/mmm, No. 123
E = -23.2 eV per formula unit
ΔE_f (raw) = -0.225 eV per atom

Lattice parameters (Å, degrees): 4.9305 4.9305 3.2756 90.00 90.00 90.00
Atoms (fractional coordinates):
Cd: 0.0000 0.0000 0.0000
Si: 0.5000 0.5000 0.5000
P: 0.0000 0.5000 0.5000
P: 0.5000 0.0000 0.5000
O: 0.5000 0.5000 0.0000

---

Entry 15:
A plane-wave DFT calculation with PBE was carried out for a geometry-optimized Cr2AgRh structure.

Output
magnetization = 1.35 μB/cell
space group = P4/mmm, No. 123
E = -27.6 eV per formula unit
formation enthalpy at 0 K = 0.463 eV per atom

Lattice parameters (Å, degrees): 3.7637 3.7637 3.8883 90.00 90.00 90.00
Atoms (fractional coordinates):
Cr: 0.0000 0.5000 0.0000
Cr: 0.5000 0.0000 0.0000
Ag: 0.0000 0.0000 0.5000
Rh: 0.5000 0.5000 0.5000

---

Entry 16:
A plane-wave DFT calculation with PBE was carried out for a geometry-optimized YClF2 structure.

Output
magnetization = 0.00 μB/cell
relative energy among the computed polymorphs = 0.000 eV/atom
space group = Cmcm, No. 63
E = -25.9 eV per formula unit
ΔE_f (raw) = -3.471 eV per atom

Lattice parameters (Å, degrees): 3.7580 9.9262 6.9618 90.00 90.00 90.00
Atoms (fractional coordinates):
Y: 0.0000 0.2403 0.2500
Y: 0.0000 0.7597 0.7500
Y: 0.5000 0.2597 0.7500
Y: 0.5000 0.7403 0.2500
Cl: 0.0000 0.0459 0.7500
Cl: 0.0000 0.9541 0.2500
Cl: 0.5000 0.4541 0.2500
Cl: 0.5000 0.5459 0.7500
F: 0.0000 0.3192 0.5678
F: 0.0000 0.3192 0.9322
F: 0.0000 0.6808 0.0678
F: 0.0000 0.6808 0.4322
F: 0.5000 0.1808 0.0678
F: 0.5000 0.1808 0.4322
F: 0.5000 0.8192 0.5678
F: 0.5000 0.8192 0.9322

---

Entry 17:
A plane-wave DFT calculation with PBE was carried out for a geometry-optimized LiSb3 structure.

Output
magnetization = 0.00 μB/cell
relative energy among the computed polymorphs = 0.050 eV/atom
space group = Imm2, No. 44
E = -14.6 eV per formula unit
ΔE_f (raw) = -0.086 eV per atom

Lattice parameters (Å, degrees): 4.4045 10.6002 4.5880 90.00 90.00 90.00
Atoms (fractional coordinates):
Li: 0.0000 0.0000 0.0000
Li: 0.5000 0.5000 0.5000
Sb: 0.0000 0.2603 0.6833
Sb: 0.0000 0.5000 0.0054
Sb: 0.0000 0.7397 0.6833
Sb: 0.5000 0.0000 0.5054
Sb: 0.5000 0.2397 0.1833
Sb: 0.5000 0.7603 0.1833

---

Entry 18:
A plane-wave DFT calculation with PBE was carried out for a geometry-optimized LiAlTc4 structure.

Output
magnetization = 0.00 μB/cell
space group = F-43m, No. 216
E = -45.6 eV per formula unit
formation enthalpy at 0 K = 0.252 eV per atom

Lattice parameters (Å, degrees): 5.1146 5.1146 5.1146 60.00 60.00 60.00
Atoms (fractional coordinates):
Li: 0.0000 0.0000 0.0000
Al: 0.2500 0.2500 0.2500
Tc: 0.1243 0.6252 0.6252
Tc: 0.6252 0.1243 0.6252
Tc: 0.6252 0.6252 0.1243
Tc: 0.6252 0.6252 0.6252

---

Entry 19:
A plane-wave DFT calculation with PBE was carried out for a geometry-optimized CeThCd2 structure.

Output
magnetization = 5.36 μB/cell
relative energy among the computed polymorphs = 0.055 eV/atom
space group = Fm-3m, No. 225
E = -15.4 eV per formula unit
formation enthalpy at 0 K = -0.065 eV per atom

Lattice parameters (Å, degrees): 7.6664 7.6664 7.6664 90.00 90.00 90.00
Atoms (fractional coordinates):
Ce: 0.0000 0.0000 0.0000
Ce: 0.0000 0.5000 0.5000
Ce: 0.5000 0.0000 0.5000
Ce: 0.5000 0.5000 0.0000
Th: 0.0000 0.0000 0.5000
Th: 0.0000 0.5000 0.0000
Th: 0.5000 0.0000 0.0000
Th: 0.5000 0.5000 0.5000
Cd: 0.2500 0.2500 0.2500
Cd: 0.2500 0.2500 0.7500
Cd: 0.2500 0.7500 0.2500
Cd: 0.2500 0.7500 0.7500
Cd: 0.7500 0.2500 0.2500
Cd: 0.7500 0.2500 0.7500
Cd: 0.7500 0.7500 0.2500
Cd: 0.7500 0.7500 0.7500

---

Entry 20:
A plane-wave DFT calculation with PBE was carried out for a geometry-optimized Ho6Ni20P13 structure.

Output
magnetization = 0.00 μB/cell
space group = P-6, No. 174
E = -249.3 eV per formula unit
formation enthalpy at 0 K = -0.920 eV per atom

Lattice parameters (Å, degrees): 12.6448 12.6448 3.7444 90.00 90.00 120.00
Atoms (fractional coordinates):
Ho: 0.0514 0.8552 0.0000
Ho: 0.1448 0.1961 0.0000
Ho: 0.5215 0.1367 0.5000
Ho: 0.6152 0.4785 0.5000
Ho: 0.8039 0.9486 0.0000
Ho: 0.8633 0.3848 0.5000
Ni: 0.0000 0.0000 0.5000
Ni: 0.0130 0.5883 0.0000
Ni: 0.0863 0.3493 0.5000
Ni: 0.1829 0.5888 0.5000
Ni: 0.2289 0.7583 0.0000
Ni: 0.2417 0.4705 0.0000
Ni: 0.2631 0.9137 0.5000
Ni: 0.3124 0.0839 0.0000
Ni: 0.3548 0.2537 0.5000
Ni: 0.4059 0.8171 0.5000
Ni: 0.4112 0.5941 0.5000
Ni: 0.4117 0.4247 0.0000
Ni: 0.5295 0.7711 0.0000
Ni: 0.5753 0.9870 0.0000
Ni: 0.6507 0.7369 0.5000
Ni: 0.6667 0.3333 0.0000
Ni: 0.7463 0.1010 0.5000
Ni: 0.7715 0.6876 0.0000
Ni: 0.8990 0.6452 0.5000
Ni: 0.9161 0.2285 0.0000
P: 0.0498 0.4318 0.0000
P: 0.1012 0.7140 0.5000
P: 0.1958 0.0535 0.5000
P: 0.2860 0.3872 0.5000
P: 0.3333 0.6667 0.0000
P: 0.3820 0.9502 0.0000
P: 0.4715 0.2814 0.0000
P: 0.5682 0.6180 0.0000
P: 0.6128 0.8988 0.5000
P: 0.7186 0.1901 0.0000
P: 0.8099 0.5285 0.0000
P: 0.8577 0.8042 0.5000
P: 0.9465 0.1423 0.5000

---

Entry 21:
A plane-wave DFT calculation with PBE was carried out for a geometry-optimized TaTeP2 structure.

Output
magnetization = 0.00 μB/cell
space group = Imm2, No. 44
E = -24.7 eV per formula unit
ΔE_f (raw) = 0.274 eV per atom

Lattice parameters (Å, degrees): 3.7620 4.4749 8.9799 90.00 90.00 90.00
Atoms (fractional coordinates):
Ta: 0.0000 0.0000 0.0000
Ta: 0.5000 0.5000 0.5000
Te: 0.0000 0.5000 0.7504
Te: 0.5000 0.0000 0.2504
P: 0.0000 0.0000 0.4879
P: 0.0000 0.5000 0.1407
P: 0.5000 0.0000 0.6407
P: 0.5000 0.5000 0.9879

---

Entry 22:
A plane-wave DFT calculation with PBE was carried out for a geometry-optimized LiLaSi2 structure.

Output
magnetization = 0.00 μB/cell
relative energy among the computed polymorphs = 0.202 eV/atom
space group = Imm2, No. 44
E = -19.4 eV per formula unit
ΔE_f (raw) = -0.421 eV per atom

Lattice parameters (Å, degrees): 3.7947 4.2830 10.6142 90.00 90.00 90.00
Atoms (fractional coordinates):
Li: 0.0000 0.0000 0.0000
Li: 0.5000 0.5000 0.5000
La: 0.0000 0.5000 0.7514
La: 0.5000 0.0000 0.2514
Si: 0.0000 0.0000 0.5017
Si: 0.0000 0.5000 0.1410
Si: 0.5000 0.0000 0.6410
Si: 0.5000 0.5000 0.0017

---

Entry 23:
A plane-wave DFT calculation with PBE was carried out for a geometry-optimized BeSi2Pb structure.

Output
magnetization = 0.00 μB/cell
relative energy among the computed polymorphs = 0.068 eV/atom
space group = P2/m, No. 10
E = -16.6 eV per formula unit
ΔE_f (raw) = 0.430 eV per atom

Lattice parameters (Å, degrees): 3.8172 3.8016 5.4657 90.00 103.17 90.00
Atoms (fractional coordinates):
Be: 0.0000 0.0000 0.0000
Si: 0.2084 0.5000 0.8544
Si: 0.7916 0.5000 0.1456
Pb: 0.5000 0.0000 0.5000